Entry 1:
{"formula": "CaW2Cl", "functional": "GGA-PBE", "state": "optimized geometry", "lattice": [[0.0000, 3.3301, 3.3433], [3.3190, 0.0000, 3.3433], [3.3190, 3.3301, 0.0000]], "species": ["Ca", "W", "W", "Cl"], "frac_coords": [[0.0000, 0.0000, 0.0000], [0.2500, 0.2500, 0.2500], [0.5000, 0.5000, 0.5000], [0.7500, 0.7500, 0.7500]], "formation_energy_uncorrected_mev_per_atom": 943, "density_g_cm3": 10.0}

---

Entry 2:
{"formula": "CaW2Cl", "functional": "GGA-PBE", "state": "optimized geometry", "lattice": [[-1.6357, 2.9386, 4.7857], [1.6357, -2.9386, 4.7857], [1.6357, 2.9386, -4.7857]], "species": ["Ca", "W", "W", "Cl"], "frac_coords": [[0.0000, 0.0000, 0.0000], [0.4682, 0.4682, 0.0000], [0.6545, 0.1545, 0.5000], [0.2429, 0.7429, 0.5000]], "formation_energy_uncorrected_mev_per_atom": 683, "density_g_cm3": 8.0}

---

Entry 3:
{"formula": "CaW4Cl", "functional": "GGA-PBE", "state": "optimized geometry", "lattice": [[0.0000, 3.8824, 3.8824], [3.8824, 0.0000, 3.8824], [3.8824, 3.8824, 0.0000]], "species": ["Ca", "W", "W", "W", "W", "Cl"], "frac_coords": [[0.0000, 0.0000, 0.0000], [0.3771, 0.3771, 0.3771], [0.3771, 0.3771, 0.8688], [0.3771, 0.8688, 0.3771], [0.8688, 0.3771, 0.3771], [0.7500, 0.7500, 0.7500]], "formation_energy_uncorrected_mev_per_atom": 1028, "density_g_cm3": 11.5}

---

Entry 4:
{"formula": "CaWCl2", "functional": "GGA-PBE", "state": "optimized geometry", "lattice": [[-1.9375, 1.9375, 6.0785], [1.9375, -1.9375, 6.0785], [1.9375, 1.9375, -6.0785]], "species": ["Ca", "W", "Cl", "Cl"], "frac_coords": [[0.0000, 0.0000, 0.0000], [0.7500, 0.2500, 0.5000], [0.2500, 0.7500, 0.5000], [0.5000, 0.5000, 0.0000]], "formation_energy_uncorrected_mev_per_atom": 185, "density_g_cm3": 5.4}

---

Entry 5:
{"formula": "CaW2Cl", "functional": "GGA-PBE", "state": "optimized geometry", "lattice": [[0.0000, 3.3320, 3.3320], [3.3320, 0.0000, 3.3320], [3.3320, 3.3320, 0.0000]], "species": ["Ca", "W", "W", "Cl"], "frac_coords": [[0.0000, 0.0000, 0.0000], [0.2500, 0.2500, 0.2500], [0.7500, 0.7500, 0.7500], [0.5000, 0.5000, 0.5000]], "formation_energy_uncorrected_mev_per_atom": 2038, "density_g_cm3": 9.9}

---

Entry 6:
{"formula": "CaWCl2", "functional": "GGA-PBE", "state": "optimized geometry", "lattice": [[1.7839, 1.0299, 10.9507], [-1.7839, 1.0299, 10.9507], [0.0000, -2.0599, 10.9507]], "species": ["Ca", "W", "Cl", "Cl"], "frac_coords": [[0.0000, 0.0000, 0.0000], [0.5000, 0.5000, 0.5000], [0.2824, 0.2824, 0.2824], [0.7176, 0.7176, 0.7176]], "formation_energy_uncorrected_mev_per_atom": -62, "density_g_cm3": 4.1}

---

Entry 7:
{"formula": "CaWCl", "functional": "GGA-PBE", "state": "optimized geometry", "lattice": [[0.0000, 2.1152, 7.7282], [2.1039, 0.0000, 7.7282], [2.1039, 2.1152, 0.0000]], "species": ["Ca", "W", "Cl"], "frac_coords": [[0.0000, 0.0000, 0.0000], [0.3381, 0.3381, 0.6619], [0.6102, 0.6102, 0.3898]], "formation_energy_uncorrected_mev_per_atom": 326, "density_g_cm3": 6.3}

---

Entry 8:
{"formula": "CaWCl2", "functional": "GGA-PBE", "state": "optimized geometry", "lattice": [[0.0000, 3.3535, 3.3535], [3.3535, 0.0000, 3.3535], [3.3535, 3.3535, 0.0000]], "species": ["Ca", "W", "Cl", "Cl"], "frac_coords": [[0.0000, 0.0000, 0.0000], [0.5000, 0.5000, 0.5000], [0.2500, 0.2500, 0.2500], [0.7500, 0.7500, 0.7500]], "formation_energy_uncorrected_mev_per_atom": 331, "density_g_cm3": 6.5}

---

Entry 9:
{"formula": "CaW2Cl", "functional": "GGA-PBE", "state": "optimized geometry", "lattice": [[2.8255, 0.0000, 0.0000], [0.0000, 2.8255, 0.0000], [0.0000, 0.0000, 9.3155]], "species": ["Ca", "W", "W", "Cl"], "frac_coords": [[0.0000, 0.0000, 0.0000], [0.5000, 0.5000, 0.2786], [0.5000, 0.5000, 0.7214], [0.0000, 0.0000, 0.5000]], "formation_energy_uncorrected_mev_per_atom": 1123, "density_g_cm3": 9.9}

---

Entry 10:
{"formula": "CaWCl2", "functional": "GGA-PBE", "state": "optimized geometry", "lattice": [[-1.6428, 2.5597, 6.2745], [1.6428, -2.5597, 6.2745], [1.6428, 2.5597, -6.2745]], "species": ["Ca", "W", "Cl", "Cl"], "frac_coords": [[0.0000, 0.0000, 0.0000], [0.5000, 0.5000, 0.0000], [0.3539, 0.8539, 0.5000], [0.6461, 0.1461, 0.5000]], "formation_energy_uncorrected_mev_per_atom": -156, "density_g_cm3": 4.6}

---

Entry 11:
{"formula": "CaWCl2", "functional": "GGA-PBE", "state": "optimized geometry", "lattice": [[4.6451, 0.0000, 0.0000], [0.0000, 3.1093, 0.0000], [-2.2520, 0.0000, 5.2825]], "species": ["Ca", "W", "Cl", "Cl"], "frac_coords": [[0.0000, 0.0000, 0.0000], [0.5000, 0.5000, 0.5000], [0.0000, 0.0000, 0.5000], [0.5000, 0.5000, 0.0000]], "formation_energy_uncorrected_mev_per_atom": -2, "density_g_cm3": 6.4}

---

Entry 12:
{"formula": "CaWCl4", "functional": "GGA-PBE", "state": "optimized geometry", "lattice": [[0.0000, 4.1982, 4.1982], [4.1982, 0.0000, 4.1982], [4.1982, 4.1982, 0.0000]], "species": ["Ca", "W", "Cl", "Cl", "Cl", "Cl"], "frac_coords": [[0.0000, 0.0000, 0.0000], [0.2500, 0.2500, 0.2500], [0.1252, 0.6249, 0.6249], [0.6249, 0.1252, 0.6249], [0.6249, 0.6249, 0.1252], [0.6249, 0.6249, 0.6249]], "formation_energy_uncorrected_mev_per_atom": 596, "density_g_cm3": 4.1}

---

Entry 13:
{"formula": "CaW2Cl", "functional": "GGA-PBE", "state": "optimized geometry", "lattice": [[2.8552, 0.0000, 0.0000], [0.0000, 5.1565, 0.0000], [0.0000, 0.0000, 5.6529]], "species": ["Ca", "W", "W", "Cl"], "frac_coords": [[0.0000, 0.0000, 0.0000], [0.5000, 0.2336, 0.5000], [0.5000, 0.7664, 0.5000], [0.0000, 0.5000, 0.0000]], "formation_energy_uncorrected_mev_per_atom": 889, "density_g_cm3": 8.8}

---

Entry 14:
{"formula": "CaWCl2", "functional": "GGA-PBE", "state": "optimized geometry", "lattice": [[0.0000, 3.6674, 3.6674], [3.6674, 0.0000, 3.6674], [3.6674, 3.6674, 0.0000]], "species": ["Ca", "W", "Cl", "Cl"], "frac_coords": [[0.0000, 0.0000, 0.0000], [0.2500, 0.2500, 0.2500], [0.5000, 0.5000, 0.5000], [0.7500, 0.7500, 0.7500]], "formation_energy_uncorrected_mev_per_atom": 479, "density_g_cm3": 5.0}

---

Entry 15:
{"formula": "CaW2Cl", "functional": "GGA-PBE", "state": "optimized geometry", "lattice": [[1.4819, 0.8556, 9.6277], [-1.4819, 0.8556, 9.6277], [0.0000, -1.7111, 9.6277]], "species": ["Ca", "W", "W", "Cl"], "frac_coords": [[0.0000, 0.0000, 0.0000], [0.2401, 0.2401, 0.2401], [0.7599, 0.7599, 0.7599], [0.5000, 0.5000, 0.5000]], "formation_energy_uncorrected_mev_per_atom": 978, "density_g_cm3": 10.0}

---

Entry 16:
{"formula": "CaW2Cl", "functional": "GGA-PBE", "state": "optimized geometry", "lattice": [[1.7210, -2.5581, 0.0000], [1.7210, 2.5581, 0.0000], [0.0000, 0.0000, 9.7102]], "species": ["Ca", "W", "W", "Cl"], "frac_coords": [[0.0000, 0.0000, 0.0000], [0.0000, 0.0000, 0.5391], [0.5000, 0.5000, 0.7263], [0.5000, 0.5000, 0.1941]], "formation_energy_uncorrected_mev_per_atom": 192, "density_g_cm3": 8.6}

---

Entry 17:
{"formula": "Ca3WCl", "functional": "GGA-PBE", "state": "optimized geometry", "lattice": [[5.2952, 0.0000, 0.0000], [0.0000, 5.2952, 0.0000], [0.0000, 0.0000, 5.2952]], "species": ["Ca", "Ca", "Ca", "W", "Cl"], "frac_coords": [[0.0000, 0.0000, 0.5000], [0.0000, 0.5000, 0.0000], [0.5000, 0.0000, 0.0000], [0.5000, 0.5000, 0.5000], [0.0000, 0.0000, 0.0000]], "formation_energy_uncorrected_mev_per_atom": 389, "density_g_cm3": 3.8}

---

Entry 18:
{"formula": "CaWCl2", "functional": "GGA-PBE", "state": "optimized geometry", "lattice": [[1.5993, 0.9234, 8.8459], [-1.5993, 0.9234, 8.8459], [0.0000, -1.8468, 8.8459]], "species": ["Ca", "W", "Cl", "Cl"], "frac_coords": [[0.0000, 0.0000, 0.0000], [0.5000, 0.5000, 0.5000], [0.4090, 0.4090, 0.4090], [0.5910, 0.5910, 0.5910]], "formation_energy_uncorrected_mev_per_atom": -211, "density_g_cm3": 6.2}

---

Entry 19:
{"formula": "Ca2WCl2", "functional": "GGA-PBE", "state": "optimized geometry", "lattice": [[8.5519, 0.0000, 0.0000], [0.0000, 8.5519, 0.0000], [0.0000, 0.0000, 3.1843]], "species": ["Ca", "Ca", "Ca", "Ca", "W", "W", "Cl", "Cl", "Cl", "Cl"], "frac_coords": [[0.1734, 0.3266, 0.0000], [0.3266, 0.8266, 0.0000], [0.6734, 0.1734, 0.0000], [0.8266, 0.6734, 0.0000], [0.0000, 0.0000, 0.0000], [0.5000, 0.5000, 0.0000], [0.1259, 0.6259, 0.5000], [0.3741, 0.1259, 0.5000], [0.6259, 0.8741, 0.5000], [0.8741, 0.3741, 0.5000]], "formation_energy_uncorrected_mev_per_atom": -83, "density_g_cm3": 4.8}

---

Entry 20:
{"formula": "CaWCl2", "functional": "GGA-PBE", "state": "optimized geometry", "lattice": [[3.2512, 0.0000, 0.0000], [0.0000, 2.0599, 6.9290], [0.0000, -2.0599, 6.9290]], "species": ["Ca", "W", "Cl", "Cl"], "frac_coords": [[0.0000, 0.0000, 0.0000], [0.5000, 0.6290, 0.6290], [0.0000, 0.7577, 0.7577], [0.5000, 0.4446, 0.4446]], "formation_energy_uncorrected_mev_per_atom": -275, "density_g_cm3": 5.3}